BaCrAg2 | PBE | relaxed

Output
VASP energy, eV/cell: -15.92
Total magnetic moment, μB/atom: 1.206
Formation energy, eV per atom: 0.33
Symmetry: Pm
ΔE to the lowest computed polymorph, eV per atom: 0.165

```
data_BaCrAg2
_cell_length_a 4.476
_cell_length_b 3.914
_cell_length_c 6.501
_cell_angle_alpha 78.38
_cell_angle_beta 90.00
_cell_angle_gamma 90.00
_symmetry_space_group_name_H-M 'P 1'
_symmetry_Int_Tables_number 1
loop_
_symmetry_equiv_pos_as_xyz
'x,y,z'
loop_
_atom_site_label
_atom_site_type_symbol
_atom_site_fract_x
_atom_site_fract_y
_atom_site_fract_z
_atom_site_occupancy
Ag1 Ag 0.000 0.162 0.946 1
Ba1 Ba 0.000 0.523 0.453 1
Ag2 Ag 0.500 0.105 0.210 1
Cr1 Cr 0.500 0.710 0.891 1
```